A relaxed Tl2HgPd crystal, computed with PBE.

Summary:
Its energy relative to the elements is -0.037 eV per atom. The value obtained for the energy above the most stable polymorph in this dataset is 25.1 meV/atom. Its spin magnetization is 0.0000 μB/atom. As for the space group: P4/mmm.

Unit cell a=3.3634 b=3.3634 c=8.6493 alpha=90.00 beta=90.00 gamma=90.00
Sites, in units of the cell vectors:
1 Pd 0.5000 0.5000 0.7500
2 Tl 0.0000 0.0000 0.5433
3 Tl 0.0000 0.0000 0.9567
4 Hg 0.5000 0.5000 0.2500